Density functional theory data (GGA-PBEsol) for a relaxed structure of Li2LaTa.

Formation energy: 475 meV/atom
Fermi-level density of states: 3.4 states/eV/f.u.
Space group: Cmmm

CIF file:
```
data_Li2LaTa
_symmetry_space_group_name_H-M 'P 1'
_symmetry_Int_Tables_number 1
_cell_length_a 2.9016
_cell_length_b 2.9016
_cell_length_c 11.0700
_cell_angle_alpha 90.00
_cell_angle_beta 90.00
_cell_angle_gamma 116.78
loop_
_symmetry_equiv_pos_as_xyz
'x,y,z'
loop_
_atom_site_label
_atom_site_type_symbol
_atom_site_fract_x
_atom_site_fract_y
_atom_site_fract_z
Li1 Li 0.0000 0.0000 0.2248
Li2 Li 0.0000 0.0000 0.7752
La1 La 0.5000 0.5000 0.5000
Ta1 Ta 0.5000 0.5000 0.0000
```

Density functional theory data (GGA-PBEsol) for a relaxed structure of LaInC2F.

Fermi-level density of states: 2.7 states/eV/f.u.
Raw formation energy: 1.1345 eV per atom
Space group: P4/mmm

CIF file:
```
data_LaInC2F
_symmetry_space_group_name_H-M 'P 1'
_symmetry_Int_Tables_number 1
_cell_length_a 4.5625
_cell_length_b 4.5625
_cell_length_c 4.2536
_cell_angle_alpha 90.00
_cell_angle_beta 90.00
_cell_angle_gamma 90.00
loop_
_symmetry_equiv_pos_as_xyz
'x,y,z'
loop_
_atom_site_label
_atom_site_type_symbol
_atom_site_fract_x
_atom_site_fract_y
_atom_site_fract_z
La1 La 0.0000 0.0000 0.0000
In1 In 0.5000 0.5000 0.0000
C1 C 0.0000 0.5000 0.5000
C2 C 0.5000 0.0000 0.5000
F1 F 0.0000 0.0000 0.5000
```

Density functional theory data (GGA-PBEsol) for a relaxed structure of Li2MoW.

Formation energy: 1027 meV/atom
Fermi-level density of states: 3.5 states/eV/f.u.
Space group: Fm-3m

CIF file:
```
data_Li2MoW
_symmetry_space_group_name_H-M 'P 1'
_symmetry_Int_Tables_number 1
_cell_length_a 4.1727
_cell_length_b 4.1727
_cell_length_c 4.1727
_cell_angle_alpha 60.00
_cell_angle_beta 60.00
_cell_angle_gamma 60.00
loop_
_symmetry_equiv_pos_as_xyz
'x,y,z'
loop_
_atom_site_label
_atom_site_type_symbol
_atom_site_fract_x
_atom_site_fract_y
_atom_site_fract_z
Li1 Li 0.2500 0.2500 0.2500
Li2 Li 0.7500 0.7500 0.7500
Mo1 Mo 0.0000 0.0000 0.0000
W1 W 0.5000 0.5000 0.5000
```

Number 1: theoretical density 6.7 g cm⁻³. Number 2: theoretical density 5.6 g cm⁻³. Number 3: theoretical density 9.5 g cm⁻³.